No. 1
Density functional theory data (GGA-PBE) for a relaxed structure of Ac2YAg2O6.

The structure in POSCAR format:
```
Ac2YAg2O6
1.0
6.390 0.000 0.000
3.195 5.534 0.000
3.195 1.845 5.660
O Y Ag Ac
6 1 2 2
direct
0.762 0.762 0.289
0.238 0.812 0.711
0.762 0.188 0.289
0.238 0.238 0.711
0.188 0.762 0.289
0.812 0.238 0.711
0.000 0.000 0.000
0.414 0.414 0.758
0.586 0.586 0.242
0.798 0.798 0.607
0.202 0.202 0.393
```

Calculated values
Total DFT energy (no corrections): -6.540 eV per atom



No. 2
Density functional theory data (GGA-PBE) for a relaxed structure of Ac2ZnAg2O6.

The structure in POSCAR format:
```
Ac2ZnAg2O6
1.0
-2.727 -4.537 3.264
1.908 -1.247 5.786
-3.815 1.587 4.942
Ag Ac O Zn
2 2 6 1
direct
0.412 0.412 0.764
0.588 0.588 0.236
0.210 0.210 0.371
0.790 0.790 0.629
0.768 0.768 0.274
0.189 0.768 0.274
0.232 0.232 0.726
0.811 0.232 0.726
0.232 0.811 0.726
0.768 0.189 0.274
0.000 0.000 0.000
```

Calculated values
Total DFT energy (no corrections): -5.508 eV per atom



No. 3
Density functional theory data (GGA-PBE) for a relaxed structure of AcZnAg2O4.

The structure in POSCAR format:
```
AcZnAg2O4
1.0
-4.183 -1.848 3.970
-0.388 -5.020 1.875
0.504 0.393 5.335
Ag O Ac Zn
2 4 1 1
direct
0.500 0.750 0.250
0.500 0.250 0.750
0.373 0.121 0.505
0.000 0.506 0.121
0.000 0.879 0.494
0.627 0.495 0.879
0.000 0.000 0.000
0.000 0.500 0.500
```

Calculated values
Total DFT energy (no corrections): -5.216 eV per atom



No. 4
Density functional theory data (GGA-PBE) for a relaxed structure of Ac2ZnAgO5.

The structure in POSCAR format:
```
Ac2ZnAgO5
1.0
5.810 0.000 0.000
0.000 7.198 0.000
0.000 0.000 7.198
O Ac Zn Ag
10 4 2 2
direct
0.500 0.500 0.500
0.243 0.629 0.871
0.243 0.371 0.129
0.243 0.129 0.629
0.500 0.000 0.000
0.757 0.371 0.129
0.243 0.871 0.371
0.757 0.629 0.871
0.757 0.871 0.371
0.757 0.129 0.629
0.500 0.680 0.180
0.500 0.180 0.320
0.500 0.820 0.680
0.500 0.320 0.820
0.000 0.000 0.500
0.000 0.500 0.000
0.000 0.000 0.000
0.000 0.500 0.500
```

Calculated values
Total DFT energy (no corrections): -6.057 eV per atom